Entry from Alexandria via LeMat-Bulk: LiGaNi after structural relaxation (GGA-PBE).

- formation energy from the elements (eV/f.u.) = -0.779
- DOS at the Fermi energy (states/eV per cell) = 3.29
- crystal system = tetragonal
- raw total energy (eV/atom) = -3.834

Cell lengths 3.0271, 3.0271, 8.2175 Å; angles 90.00, 90.00, 90.00 degrees
Space group I4mm (No. 107)
Asymmetric unit:
Li (0.0000, 0.0000, 0.0000)
Ga (0.0000, 0.0000, 0.6799)
Ni (0.0000, 0.0000, 0.3368)